{
  "formula": "ScCrSe2",
  "functional": "GGA-PBE",
  "state": "optimized geometry",
  "m_tot_mub_per_atom": 0.774,
  "de_polymorph_mev_per_atom": 470,
  "raw_formation_energy_kj_per_mol_atoms": -48.9,
  "crystal_system": "trigonal",
  "lattice_angstrom": [[1.837, 1.060, 8.064], [-1.837, 1.060, 8.064], [0.000, -2.121, 8.064]],
  "species": ["Sc", "Cr", "Se", "Se"],
  "frac_coords": [[0.000, 0.000, 0.000], [0.500, 0.500, 0.500], [0.109, 0.109, 0.109], [0.891, 0.891, 0.891]]
}